A relaxed structure of SiTcHg, computed with PBE.

Computed properties:
Distance to the lowest polymorph of the same formula, meV/atom: 97
Fermi-level density of states, states/eV/f.u.: 2.08
SG: P-6m2, No. 187
Uncorrected formation energy, eV/atom: 0.267

Lattice parameters (Å, degrees): 4.1131 4.1131 3.5505 90.00 90.00 120.00
Closest atoms and distances in Å follow each position.
Element x y z (fractional)
Si: 0.0000 0.0000 0.0000  3 Tc 2.37
Tc: 0.3333 0.6667 0.0000  3 Si 2.37
Hg: 0.6667 0.3333 0.5000  6 Si 2.96, 6 Tc 2.96

---

A relaxed structure of SiTcHg2, computed with PBE.

Computed properties:
Fermi-level density of states, states/eV/f.u.: 3.15
SG: C2/m, No. 12
Uncorrected formation energy, eV/atom: 0.633

Lattice parameters (Å, degrees): 5.0592 5.0592 3.2006 90.07 90.07 115.80
Closest atoms and distances in Å follow each position.
Element x y z (fractional)
Si: 0.0000 0.0000 0.0000  2 Tc 2.69, 8 Hg 2.99-3.00
Tc: 0.5000 0.5000 0.0000  2 Si 2.69, 8 Hg 2.99-3.00
Hg: 0.0000 0.5000 0.5000  2 Hg 2.69, 4 Tc 2.99-3.00, 4 Si 2.99-3.00
Hg: 0.5000 0.0000 0.5000  2 Hg 2.69, 4 Tc 2.99-3.00, 4 Si 2.99-3.00

---

A relaxed structure of SiTcHg, computed with PBE.

Computed properties:
Distance to the lowest polymorph of the same formula, meV/atom: 149
Fermi-level density of states, states/eV/f.u.: 3.80
SG: P3m1, No. 156
Uncorrected formation energy, eV/atom: 0.318

Lattice parameters (Å, degrees): 3.0308 3.0308 6.5136 90.00 90.00 120.00
Closest atoms and distances in Å follow each position.
Element x y z (fractional)
Si: 0.0000 0.0000 0.0000  3 Tc 2.42
Tc: 0.6667 0.3333 0.2560  3 Si 2.42
Hg: 0.3333 0.6667 0.6247  3 Tc 2.97, 3 Si 3.01, 6 Hg 3.03

---

A relaxed structure of Si2Tc2Hg, computed with PBE.

Computed properties:
Distance to the lowest polymorph of the same formula, meV/atom: 71
Fermi-level density of states, states/eV/f.u.: 4.01
SG: P4/mbm, No. 127
Uncorrected formation energy, eV/atom: -0.016

Lattice parameters (Å, degrees): 7.1253 7.1253 2.9422 90.00 90.00 90.00
Closest atoms and distances in Å follow each position.
Element x y z (fractional)
Si: 0.1359 0.3641 0.0000  6 Tc 2.54-2.58, 1 Si 2.74, 2 Hg 2.77
Si: 0.3641 0.8641 0.0000  6 Tc 2.54-2.58, 1 Si 2.74, 2 Hg 2.77
Si: 0.6359 0.1359 0.0000  6 Tc 2.54-2.58, 1 Si 2.74, 2 Hg 2.77
Si: 0.8641 0.6359 0.0000  6 Tc 2.54-2.58, 1 Si 2.74, 2 Hg 2.77
Tc: 0.1534 0.6534 0.5000  6 Si 2.54-2.58
Tc: 0.3466 0.1534 0.5000  6 Si 2.54-2.58
Tc: 0.6534 0.8466 0.5000  6 Si 2.54-2.58
Tc: 0.8466 0.3466 0.5000  6 Si 2.54-2.58
Hg: 0.0000 0.0000 0.0000  4 Si 2.77, 2 Hg 2.94, 8 Tc 3.08
Hg: 0.5000 0.5000 0.0000  4 Si 2.77, 2 Hg 2.94, 8 Tc 3.08

---

A relaxed structure of Si2Tc2Hg, computed with PBE.

Computed properties:
Distance to the lowest polymorph of the same formula, meV/atom: 36
Fermi-level density of states, states/eV/f.u.: 4.51
SG: I4/mmm, No. 139
Uncorrected formation energy, eV/atom: -0.051

Lattice parameters (Å, degrees): 6.9865 6.9865 6.9865 151.14 151.14 41.26
Closest atoms and distances in Å follow each position.
Element x y z (fractional)
Si: 0.2500 0.7500 0.5000  4 Tc 2.46, 4 Si 2.46
Si: 0.7500 0.2500 0.5000  4 Tc 2.46, 4 Si 2.46
Tc: 0.1169 0.1169 0.0000  4 Si 2.46
Tc: 0.8831 0.8831 0.0000  4 Si 2.46
Hg: 0.5000 0.5000 0.0000  8 Tc 2.90

---

A relaxed structure of Si2HgTe, computed with PBE.

Computed properties:
Distance to the lowest polymorph of the same formula, meV/atom: 399
Fermi-level density of states, states/eV/f.u.: 1.76
SG: P4/mmm, No. 123
Uncorrected formation energy, eV/atom: 0.572

Lattice parameters (Å, degrees): 3.7363 3.7363 7.2413 90.00 90.00 90.00
Closest atoms and distances in Å follow each position.
Element x y z (fractional)
Si: 0.0000 0.0000 0.1775  1 Si 2.57
Si: 0.0000 0.0000 0.8225  1 Si 2.57
Hg: 0.5000 0.5000 0.5000  8 Si 3.53, 2 Te 3.62, 4 Hg 3.74
Te: 0.5000 0.5000 0.0000  8 Si 2.94

---

A relaxed structure of SiHgTe3, computed with PBE.

Computed properties:
Distance to the lowest polymorph of the same formula, meV/atom: 1027
Fermi-level density of states, states/eV/f.u.: 3.93
SG: Pm-3m, No. 221
Uncorrected formation energy, eV/atom: 0.955

Lattice parameters (Å, degrees): 5.5758 5.5758 5.5758 90.00 90.00 90.00
Closest atoms and distances in Å follow each position.
Element x y z (fractional)
Si: 0.0000 0.0000 0.0000  12 Te 3.94
Hg: 0.5000 0.5000 0.5000  6 Te 2.79
Te: 0.0000 0.5000 0.5000  2 Hg 2.79
Te: 0.5000 0.0000 0.5000  2 Hg 2.79
Te: 0.5000 0.5000 0.0000  2 Hg 2.79

---

A relaxed structure of SiHgTe, computed with PBE.

Computed properties:
Distance to the lowest polymorph of the same formula, meV/atom: 0
Fermi-level density of states, states/eV/f.u.: 1.06
SG: P3m1, No. 156
Uncorrected formation energy, eV/atom: 0.154

Lattice parameters (Å, degrees): 4.0449 4.0449 5.6779 90.00 90.00 120.00
Closest atoms and distances in Å follow each position.
Element x y z (fractional)
Si: 0.0000 0.0000 0.0000  3 Te 2.76, 3 Hg 2.91
Hg: 0.3333 0.6667 0.6942  3 Si 2.91
Te: 0.6667 0.3333 0.2607  3 Si 2.76

---

A relaxed structure of Si2HgTe, computed with PBE.

Computed properties:
Distance to the lowest polymorph of the same formula, meV/atom: 252
Fermi-level density of states, states/eV/f.u.: 0.09
SG: I-42d, No. 122
Uncorrected formation energy, eV/atom: 0.425

Lattice parameters (Å, degrees): 7.4627 7.4627 7.4627 131.88 131.88 70.43
Closest atoms and distances in Å follow each position.
Element x y z (fractional)
Si: 0.1021 0.6250 0.9771  2 Hg 2.56, 2 Te 2.72
Si: 0.3750 0.3521 0.4771  2 Hg 2.56, 2 Te 2.72
Si: 0.6479 0.1250 0.0229  2 Hg 2.56, 2 Te 2.72
Si: 0.8750 0.8979 0.5229  2 Hg 2.56, 2 Te 2.72
Hg: 0.0000 0.0000 0.0000  4 Si 2.56
Hg: 0.7500 0.2500 0.5000  4 Si 2.56
Te: 0.2500 0.7500 0.5000  4 Si 2.72
Te: 0.5000 0.5000 0.0000  4 Si 2.72

---

A relaxed structure of SiHgTe, computed with PBE.

Computed properties:
Distance to the lowest polymorph of the same formula, meV/atom: 284
Fermi-level density of states, states/eV/f.u.: 1.29
SG: P3m1, No. 156
Uncorrected formation energy, eV/atom: 0.438

Lattice parameters (Å, degrees): 5.2313 5.2313 3.0805 90.00 90.00 120.00
Closest atoms and distances in Å follow each position.
Element x y z (fractional)
Si: 0.0000 0.0000 0.0000  3 Te 3.02, 2 Si 3.08, 3 Hg 3.38
Hg: 0.3333 0.6667 0.5071  2 Hg 3.08, 6 Si 3.38-3.40, 6 Te 3.38-3.40
Te: 0.6667 0.3333 0.0030  3 Si 3.02, 2 Te 3.08

---

A relaxed structure of SiHgTe3, computed with PBE.

Computed properties:
Distance to the lowest polymorph of the same formula, meV/atom: 437
Fermi-level density of states, states/eV/f.u.: 2.95
SG: Pm-3m, No. 221
Uncorrected formation energy, eV/atom: 0.365

Lattice parameters (Å, degrees): 5.3286 5.3286 5.3286 90.00 90.00 90.00
Closest atoms and distances in Å follow each position.
Element x y z (fractional)
Si: 0.0000 0.0000 0.0000  6 Te 2.66
Hg: 0.5000 0.5000 0.5000  12 Te 3.77
Te: 0.0000 0.0000 0.5000  2 Si 2.66
Te: 0.0000 0.5000 0.0000  2 Si 2.66
Te: 0.5000 0.0000 0.0000  2 Si 2.66

---

A relaxed structure of Si2HgTe, computed with PBE.

Computed properties:
Distance to the lowest polymorph of the same formula, meV/atom: 438
Fermi-level density of states, states/eV/f.u.: 1.11
SG: Pmmm, No. 47
Uncorrected formation energy, eV/atom: 0.611

Lattice parameters (Å, degrees): 3.9416 4.1346 5.5691 90.00 90.00 90.00
Closest atoms and distances in Å follow each position.
Element x y z (fractional)
Si: 0.0000 0.0000 0.0000  4 Te 2.86
Si: 0.0000 0.5000 0.5000  4 Hg 2.86
Hg: 0.5000 0.0000 0.5000  4 Si 2.86
Te: 0.5000 0.5000 0.0000  4 Si 2.86

---

A relaxed structure of Si2HgTe, computed with PBE.

Computed properties:
Distance to the lowest polymorph of the same formula, meV/atom: 294
Fermi-level density of states, states/eV/f.u.: 1.62
SG: Cmm2, No. 35
Uncorrected formation energy, eV/atom: 0.467

Lattice parameters (Å, degrees): 2.9649 2.9649 10.8578 90.00 90.00 97.92
Closest atoms and distances in Å follow each position.
Element x y z (fractional)
Si: 0.0000 0.0000 0.0000  4 Si 2.56-2.78
Si: 0.5000 0.5000 0.1527  4 Si 2.56-2.78
Hg: 0.5000 0.5000 0.7387  4 Hg 2.96
Te: 0.0000 0.0000 0.4232  4 Te 2.96

---

A relaxed structure of SiHg3Te, computed with PBE.

Computed properties:
Distance to the lowest polymorph of the same formula, meV/atom: 561
Fermi-level density of states, states/eV/f.u.: 2.14
SG: Pm-3m, No. 221
Uncorrected formation energy, eV/atom: 0.838

Lattice parameters (Å, degrees): 5.8203 5.8203 5.8203 90.00 90.00 90.00
Closest atoms and distances in Å follow each position.
Element x y z (fractional)
Si: 0.0000 0.0000 0.0000  12 Hg 4.12
Hg: 0.0000 0.5000 0.5000  2 Te 2.91
Hg: 0.5000 0.0000 0.5000  2 Te 2.91
Hg: 0.5000 0.5000 0.0000  2 Te 2.91
Te: 0.5000 0.5000 0.5000  6 Hg 2.91

---

A relaxed structure of SiHg3Te4, computed with PBE.

Computed properties:
Fermi-level density of states, states/eV/f.u.: 0.11
SG: Pmn2_1, No. 31
Uncorrected formation energy, eV/atom: -0.016

Lattice parameters (Å, degrees): 9.9497 7.4013 7.0889 90.00 90.00 90.00
Closest atoms and distances in Å follow each position.
Element x y z (fractional)
Si: 0.0000 0.1742 0.0000  4 Te 2.56-2.60
Si: 0.5000 0.8258 0.5000  4 Te 2.56-2.60
Hg: 0.0000 0.5596 0.7606  2 Te 3.11, 1 Si 3.32, 2 Hg 3.34
Hg: 0.2426 0.2790 0.5114  4 Te 2.93-3.08
Hg: 0.2574 0.7210 0.0114  4 Te 2.93-3.08
Hg: 0.5000 0.4404 0.2606  2 Te 3.11, 1 Si 3.32, 2 Hg 3.34
Hg: 0.7426 0.7210 0.0114  4 Te 2.93-3.08
Hg: 0.7574 0.2790 0.5114  4 Te 2.93-3.08
Te: 0.0000 0.0927 0.6438  1 Si 2.60
Te: 0.0000 0.8670 0.1669  1 Si 2.56
Te: 0.2259 0.3145 0.0961  1 Si 2.57
Te: 0.2741 0.6855 0.5961  1 Si 2.57
Te: 0.5000 0.1330 0.6669  1 Si 2.56
Te: 0.5000 0.9073 0.1438  1 Si 2.60
Te: 0.7259 0.6855 0.5961  1 Si 2.57
Te: 0.7741 0.3145 0.0961  1 Si 2.57

---

A relaxed structure of Si2HgTe, computed with PBE.

Computed properties:
Distance to the lowest polymorph of the same formula, meV/atom: 227
Fermi-level density of states, states/eV/f.u.: 1.86
SG: C2/m, No. 12
Uncorrected formation energy, eV/atom: 0.400

Lattice parameters (Å, degrees): 3.9233 3.9233 7.0934 106.19 106.19 60.30
Closest atoms and distances in Å follow each position.
Element x y z (fractional)
Si: 0.2457 0.2457 0.2395  3 Hg 2.78, 3 Te 2.86-2.87
Si: 0.7543 0.7543 0.7605  3 Hg 2.78, 3 Te 2.86-2.87
Hg: 0.5000 0.5000 0.0000  6 Si 2.78
Te: 0.0000 0.0000 0.5000  6 Si 2.86-2.87

---

A relaxed structure of SiHgTe3, computed with PBE.

Computed properties:
Distance to the lowest polymorph of the same formula, meV/atom: 112
Fermi-level density of states, states/eV/f.u.: 0.88
SG: P-1, No. 2
Uncorrected formation energy, eV/atom: 0.039

Lattice parameters (Å, degrees): 7.0839 7.0845 8.2129 64.53 64.58 60.01
Closest atoms and distances in Å follow each position.
Element x y z (fractional)
Si: 0.1664 0.1665 0.0008  6 Te 2.75-2.77
Si: 0.8336 0.8335 0.9992  6 Te 2.75-2.77
Hg: 0.4197 0.4192 0.2426  3 Te 2.77
Hg: 0.5803 0.5808 0.7574  3 Te 2.77
Te: 0.0289 0.4242 0.2360  2 Si 2.75-2.77, 1 Hg 2.77
Te: 0.1879 0.9714 0.7641  2 Si 2.75-2.77, 1 Hg 2.77
Te: 0.4246 0.8117 0.2359  2 Si 2.75-2.77, 1 Hg 2.77
Te: 0.5754 0.1883 0.7641  2 Si 2.75-2.77, 1 Hg 2.77
Te: 0.8121 0.0286 0.2359  2 Si 2.75-2.77, 1 Hg 2.77
Te: 0.9711 0.5758 0.7640  2 Si 2.75-2.77, 1 Hg 2.77

---

A relaxed structure of Si2HgTe, computed with PBE.

Computed properties:
Distance to the lowest polymorph of the same formula, meV/atom: 246
Fermi-level density of states, states/eV/f.u.: 1.81
SG: Imm2, No. 44
Uncorrected formation energy, eV/atom: 0.418

Lattice parameters (Å, degrees): 6.8490 6.8490 6.8490 149.53 145.60 46.61
Closest atoms and distances in Å follow each position.
Element x y z (fractional)
Si: 0.0000 0.0000 0.0000  2 Si 2.49
Si: 0.8631 0.3631 0.5000  2 Si 2.49
Hg: 0.5713 0.5713 0.0000  4 Si 2.85
Te: 0.2791 0.7791 0.5000  4 Si 2.91

---

A relaxed structure of Si2HgTe6, computed with PBE.

Computed properties:
Fermi-level density of states, states/eV/f.u.: 2.89
SG: C2/c, No. 15
Uncorrected formation energy, eV/atom: 0.014

Lattice parameters (Å, degrees): 10.3426 10.3426 6.4036 97.56 97.56 83.60
Closest atoms and distances in Å follow each position.
Element x y z (fractional)
Si: 0.1250 0.2697 0.3452  4 Te 2.51-2.56
Si: 0.2697 0.1250 0.8452  4 Te 2.51-2.56
Si: 0.7303 0.8750 0.1548  4 Te 2.51-2.56
Si: 0.8750 0.7303 0.6548  4 Te 2.51-2.56
Hg: 0.2326 0.7674 0.7500  2 Te 2.72
Hg: 0.7674 0.2326 0.2500  2 Te 2.72
Te: 0.0456 0.1972 0.6616  2 Si 2.51-2.54
Te: 0.0720 0.5884 0.8106  1 Si 2.55, 1 Hg 2.72
Te: 0.1972 0.0456 0.1616  2 Si 2.51-2.54
Te: 0.3354 0.3842 0.4373  1 Si 2.56
Te: 0.3842 0.3354 0.9373  1 Si 2.56
Te: 0.4116 0.9280 0.6894  1 Si 2.55, 1 Hg 2.72
Te: 0.5884 0.0720 0.3106  1 Si 2.55, 1 Hg 2.72
Te: 0.6158 0.6646 0.0627  1 Si 2.56
Te: 0.6646 0.6158 0.5627  1 Si 2.56
Te: 0.8028 0.9544 0.8384  2 Si 2.51-2.54
Te: 0.9280 0.4116 0.1894  1 Si 2.55, 1 Hg 2.72
Te: 0.9544 0.8028 0.3384  2 Si 2.51-2.54

---

A relaxed structure of Si2HgTe, computed with PBE.

Computed properties:
Distance to the lowest polymorph of the same formula, meV/atom: 431
Fermi-level density of states, states/eV/f.u.: 1.80
SG: Immm, No. 71
Uncorrected formation energy, eV/atom: 0.604

Lattice parameters (Å, degrees): 5.3952 5.3952 5.3952 138.52 115.68 79.49
Closest atoms and distances in Å follow each position.
Element x y z (fractional)
Si: 0.2483 0.2483 0.0000  2 Hg 2.81, 2 Te 2.83
Si: 0.7517 0.7517 0.0000  2 Hg 2.81, 2 Te 2.83
Hg: 0.0000 0.5000 0.5000  4 Si 2.81
Te: 0.5000 0.0000 0.5000  4 Si 2.83